The following is a PBE calculation of an optimized crystal structure of Hf3Ti2Sn4, from the Alexandria database.

Cell: 6.733 6.733 9.004 Å, 127.95 127.95 38.44°
Fractional positions:
Hf  0.000  0.000  0.000
Hf  0.341  0.341  0.314
Hf  0.659  0.659  0.686
Ti  0.345  0.345  0.660
Ti  0.655  0.655  0.340
Sn  0.044  0.044  0.380
Sn  0.337  0.337  0.976
Sn  0.663  0.663  0.024
Sn  0.956  0.956  0.620

ΔE_f = -266 meV per atom
total DFT energy (no corrections) = -7.117 eV/atom
ρ = 9.5 g/cm³